Entry 1:
VASP calculation (GGA-PBE) on crystalline PrEuCdRh at its relaxed geometry.

Lattice parameters (Å, degrees): 7.4106 7.4106 7.4106 90.00 90.00 90.00
Last column: nearest neighbours and their distance in Å.
Space group F-43m (No. 216)
Inequivalent atoms, fractional coordinates:
Pr 0.0000 0.0000 0.0000  4 Cd 3.21, 4 Rh 3.21
Eu 0.0000 0.0000 0.5000  4 Cd 3.21, 4 Rh 3.21
Cd 0.2500 0.2500 0.7500  4 Pr 3.21, 4 Eu 3.21
Rh 0.2500 0.2500 0.2500  4 Pr 3.21, 4 Eu 3.21

The total energy is -6.182 eV per atom. As for the energy relative to the elements: -352 meV per atom. As for the magnetization: 6.980 μB/f.u.

***

Entry 2:
VASP calculation (GGA-PBE) on crystalline TaIr2 at its relaxed geometry.

Lattice parameters (Å, degrees): 6.0379 6.0379 6.0379 90.00 90.00 90.00
Last column: nearest neighbours and their distance in Å.
Space group Fm-3m (No. 225)
Inequivalent atoms, fractional coordinates:
Ta 0.0000 0.0000 0.0000  8 Ir 2.61
Ir 0.2500 0.2500 0.2500  4 Ta 2.61

The total energy is -10.076 eV per atom. As for the energy relative to the elements: -218 meV per atom. As for the magnetization: 0.000 μB/f.u.

***

Entry 3:
VASP calculation (GGA-PBE) on crystalline ReSbPb at its relaxed geometry.

Lattice parameters (Å, degrees): 3.2767 3.2767 13.2671 90.00 90.00 90.00
Last column: nearest neighbours and their distance in Å.
Space group I4mm (No. 107)
Inequivalent atoms, fractional coordinates:
Re 0.0000 0.0000 0.0000  4 Sb 2.76, 4 Pb 3.05
Sb 0.0000 0.0000 0.3872  4 Re 2.76
Pb 0.0000 0.0000 0.6500  4 Re 3.05, 4 Pb 3.28

The total energy is -6.265 eV per atom. The calculation puts the uncorrected formation energy at 494 meV/atom. The value obtained for the distance to the lowest polymorph of the same formula is 0.000 eV/atom. As for the magnetization: 0.000 μB/f.u.

***

Entry 4:
VASP calculation (GGA-PBE) on crystalline BaCoSn2Te at its relaxed geometry.

Lattice parameters (Å, degrees): 4.9209 4.9209 6.0876 90.00 90.00 90.00
Last column: nearest neighbours and their distance in Å.
Space group P4/mmm (No. 123)
Inequivalent atoms, fractional coordinates:
Ba 0.0000 0.0000 0.0000  2 Co 3.04
Co 0.0000 0.0000 0.5000  4 Sn 2.46
Sn 0.0000 0.5000 0.5000  2 Co 2.46
Te 0.5000 0.5000 0.0000  4 Ba 3.48

The total energy is -4.449 eV per atom. The calculation puts the uncorrected formation energy at -413 meV/atom. As for the magnetization: 0.000 μB/f.u.

***

Entry 5:
VASP calculation (GGA-PBE) on crystalline Tb2NdCd5 at its relaxed geometry.

Lattice parameters (Å, degrees): 5.2002 5.2002 15.1126 90.00 90.00 90.00
Last column: nearest neighbours and their distance in Å.
Space group I4/mmm (No. 139)
Inequivalent atoms, fractional coordinates:
Tb 0.0000 0.0000 0.2365  8 Cd 3.12-3.36
Nd 0.0000 0.0000 0.5000  8 Cd 3.19
Cd 0.0000 0.0000 0.0000  8 Cd 3.19, 2 Tb 3.57
Cd 0.0000 0.5000 0.1225  4 Tb 3.12-3.36, 2 Cd 3.19, 2 Nd 3.19

The total energy is -2.643 eV per atom. As for the energy relative to the elements: -317 meV per atom. As for the magnetization: 0.000 μB/f.u.

***

Entry 6:
VASP calculation (GGA-PBE) on crystalline ZrSnBi2 at its relaxed geometry.

Lattice parameters (Å, degrees): 6.8864 6.8864 13.8618 90.00 90.00 90.00
Last column: nearest neighbours and their distance in Å.
Space group I-42d (No. 122)
Inequivalent atoms, fractional coordinates:
Zr 0.0000 0.0000 0.0000  4 Bi 2.89
Sn 0.0000 0.0000 0.5000  4 Bi 3.09
Bi 0.2250 0.2500 0.1250  2 Zr 2.89, 2 Sn 3.09

The total energy is -4.803 eV per atom. As for the energy relative to the elements: 275 meV per atom. As for the magnetization: 0.000 μB/f.u.

***

Entry 7:
VASP calculation (GGA-PBE) on crystalline Li3ErCu8 at its relaxed geometry.

Lattice parameters (Å, degrees): 4.9815 4.9815 24.2833 90.00 90.00 120.00
Last column: nearest neighbours and their distance in Å.
Space group R3m (No. 160, hexagonal axes)
Inequivalent atoms, fractional coordinates:
Li 0.0000 0.0000 0.0000  9 Cu 2.80-2.97, 1 Li 2.81
Li 0.0000 0.0000 0.1159  4 Li 2.81-2.99, 12 Cu 2.84-2.93
Li 0.0000 0.0000 0.4833  12 Cu 2.77-2.97, 3 Li 2.99
Er 0.0000 0.0000 0.6141  12 Cu 2.92-2.94, 4 Li 3.15-3.18
Cu 0.0000 0.0000 0.3021  6 Cu 2.49-2.53
Cu 0.0000 0.0000 0.8012  6 Cu 2.46
Cu 0.0006 0.5003 0.5500  6 Cu 2.46-2.53
Cu 0.0011 0.5005 0.0525  6 Cu 2.46-2.50

The total energy is -3.715 eV per atom. As for the energy relative to the elements: -125 meV per atom. As for the magnetization: 0.000 μB/f.u.

***

Entry 8:
VASP calculation (GGA-PBE) on crystalline AlCu2Ni4 at its relaxed geometry.

Lattice parameters (Å, degrees): 2.5576 2.5576 14.8262 90.00 90.00 120.00
Last column: nearest neighbours and their distance in Å.
Space group P-3m1 (No. 164)
Inequivalent atoms, fractional coordinates:
Al 0.0000 0.0000 0.0000  6 Ni 2.44, 6 Al 2.56
Cu 0.3333 0.6667 0.7055  4 Ni 2.42-2.53, 6 Cu 2.56
Ni 0.3333 0.6667 0.4332  9 Ni 2.47-2.56, 3 Cu 2.53
Ni 0.3333 0.6667 0.8687  1 Cu 2.42, 3 Al 2.44, 6 Ni 2.56

The total energy is -4.976 eV per atom. The value obtained for the distance to the lowest polymorph of the same formula is 0.227 eV/atom. As for the energy relative to the elements: 32 meV per atom. As for the magnetization: 0.574 μB/f.u.

***

Entry 9:
VASP calculation (GGA-PBE) on crystalline SrSbAs at its relaxed geometry.

Lattice parameters (Å, degrees): 4.4020 18.4119 4.4316 90.00 90.00 90.00
Last column: nearest neighbours and their distance in Å.
Space group Cmm2 (No. 35)
Inequivalent atoms, fractional coordinates:
Sr 0.0000 0.1510 0.0000  6 As 3.32-3.34, 4 Sb 3.53-3.58
Sb 0.0000 0.0000 0.4922  2 Sb 2.94
Sb 0.0000 0.5000 0.0538  2 Sb 2.94
As 0.0000 0.2851 0.5000  2 As 2.55

The total energy is -4.216 eV per atom. The calculation puts the uncorrected formation energy at -731 meV/atom. The value obtained for the distance to the lowest polymorph of the same formula is 0.007 eV/atom. As for the magnetization: 0.000 μB/f.u.

***

Entry 10:
VASP calculation (GGA-PBE) on crystalline TaNb2CdSn at its relaxed geometry.

Lattice parameters (Å, degrees): 4.9394 4.9394 5.3042 90.00 90.00 90.00
Last column: nearest neighbours and their distance in Å.
Space group P4/mmm (No. 123)
Inequivalent atoms, fractional coordinates:
Ta 0.0000 0.0000 0.0000  4 Nb 2.47, 2 Sn 2.65
Nb 0.0000 0.5000 0.0000  2 Ta 2.47
Cd 0.5000 0.5000 0.5000  4 Sn 3.49, 8 Nb 3.62
Sn 0.0000 0.0000 0.5000  2 Ta 2.65

The total energy is -6.196 eV per atom. As for the energy relative to the elements: 1186 meV per atom. As for the magnetization: 0.002 μB/f.u.

***

Entry 11:
VASP calculation (GGA-PBE) on crystalline TmGa2Ni2Ge at its relaxed geometry.

Lattice parameters (Å, degrees): 4.3774 4.3774 5.4393 90.00 90.00 90.00
Last column: nearest neighbours and their distance in Å.
Space group P4/mmm (No. 123)
Inequivalent atoms, fractional coordinates:
Tm 0.0000 0.0000 0.0000  2 Ge 2.72
Ga 0.5000 0.5000 0.2360  2 Ga 2.57-2.87, 4 Ni 2.62
Ni 0.0000 0.5000 0.5000  2 Ge 2.19
Ge 0.0000 0.0000 0.5000  4 Ni 2.19

The total energy is -4.715 eV per atom. As for the energy relative to the elements: -264 meV per atom. As for the magnetization: 0.000 μB/f.u.

***

Entry 12:
VASP calculation (GGA-PBE) on crystalline Co5GeC at its relaxed geometry.

Lattice parameters (Å, degrees): 3.4481 3.4481 6.0932 90.00 90.00 90.00
Last column: nearest neighbours and their distance in Å.
Space group P4/mmm (No. 123)
Inequivalent atoms, fractional coordinates:
Co 0.0000 0.0000 0.0000  4 Ge 2.44, 8 Co 2.56
Co 0.0000 0.5000 0.3111  2 C 2.07, 1 Co 2.30
Ge 0.5000 0.5000 0.0000  12 Co 2.44-2.56
C 0.0000 0.0000 0.5000  8 Co 2.07

The total energy is -6.932 eV per atom. As for the energy relative to the elements: 121 meV per atom. As for the magnetization: 4.693 μB/f.u.